PaNiBiAu, relaxed, DFT PBE; E_form = -0.15 eV/atom; volume = 85 Å³/f.u.; space group = No. 216
1.0
6.982 0.000 0.000
0.000 6.982 0.000
0.000 0.000 6.982
Pa Ni Bi Au
4 4 4 4
Direct
0.000 0.000 0.000
0.000 0.500 0.500
0.500 0.000 0.500
0.500 0.500 0.000
0.250 0.250 0.250
0.250 0.750 0.750
0.750 0.250 0.750
0.750 0.750 0.250
0.000 0.000 0.500
0.000 0.500 0.000
0.500 0.000 0.000
0.500 0.500 0.500
0.250 0.250 0.750
0.250 0.750 0.250
0.750 0.250 0.250
0.750 0.750 0.750